[1]
A relaxed structure of HfSi2Pt, computed with PBE. Values from VASP.

Geometry as Quantum ESPRESSO input:
```
&SYSTEM
  ibrav = 0, nat = 8, ntyp = 3
/
ATOMIC_SPECIES
Hf 178.49 Hf.upf
Si 28.09 Si.upf
Pt 195.08 Pt.upf
ATOMIC_POSITIONS crystal
Hf 0.0000 0.0875 0.0000
Hf 0.5000 0.9125 0.5000
Si 0.0000 0.2331 0.4960
Si 0.0000 0.6549 0.2730
Si 0.5000 0.3451 0.7730
Si 0.5000 0.7669 0.9960
Pt 0.0000 0.6058 0.7693
Pt 0.5000 0.3942 0.2693
CELL_PARAMETERS angstrom
4.0977 0.0000 0.0000
0.0000 5.7782 0.0000
0.0000 0.0000 5.2922
```

Summary:
Size of the total moment, μB/cell: 0.00
Symmetry: Pmn2_1, No. 31

***

[2]
A relaxed structure of HfSiPt2, computed with PBE. Values from VASP.

Geometry as Quantum ESPRESSO input:
```
&SYSTEM
  ibrav = 0, nat = 16, ntyp = 3
/
ATOMIC_SPECIES
Hf 178.49 Hf.upf
Si 28.09 Si.upf
Pt 195.08 Pt.upf
ATOMIC_POSITIONS crystal
Hf 0.0000 0.0000 0.0000
Hf 0.0000 0.5000 0.5000
Hf 0.5000 0.0000 0.5000
Hf 0.5000 0.5000 0.0000
Si 0.2500 0.2500 0.7500
Si 0.2500 0.7500 0.2500
Si 0.7500 0.2500 0.2500
Si 0.7500 0.7500 0.7500
Pt 0.0000 0.0000 0.5000
Pt 0.0000 0.5000 0.0000
Pt 0.2500 0.2500 0.2500
Pt 0.2500 0.7500 0.7500
Pt 0.5000 0.0000 0.0000
Pt 0.5000 0.5000 0.5000
Pt 0.7500 0.2500 0.7500
Pt 0.7500 0.7500 0.2500
CELL_PARAMETERS angstrom
6.3994 0.0000 0.0000
0.0000 6.3994 0.0000
0.0000 0.0000 6.3994
```

Summary:
Size of the total moment, μB/cell: 0.02
Symmetry: F-43m, No. 216

***

| no. | DFT total energy (eV/atom) |
| --- | --- |
| 1 | -7.337 |
| 2 | -7.456 |